# 1
The following is a DFT calculation (PBEsol) of a relaxed ZnBrCl2 crystal.

Properties
E above lowest polymorph (eV/atom): 0.576
Calculated volume (Å³/atom): 22.04
N(E_F) (states/eV per atom): 0.37
Magnetic moment (μB per cell): 0.0
ΔE_f (raw) (eV per atom): -0.04
Crystal system: orthorhombic
Symmetry: Pmmm
VASP energy (Ry per atom): -0.140

Cell and atoms, written as POSCAR:
```
ZnBrCl2
1.0
3.710 0.000 0.000
0.000 3.847 0.000
0.000 0.000 6.178
Zn Br Cl
1 1 2
direct
0.000 0.000 0.000
0.500 0.000 0.500
0.000 0.500 0.500
0.500 0.500 0.000
```

# 2
The following is a DFT calculation (PBEsol) of a relaxed ZnBrCl2 crystal.

Properties
E above lowest polymorph (eV/atom): 0.000
Calculated volume (Å³/atom): 24.67
N(E_F) (states/eV per atom): 0.65
Magnetic moment (μB per cell): 0.0
ΔE_f (raw) (eV per atom): -0.61
Crystal system: trigonal
Symmetry: R-3m
VASP energy (Ry per atom): -0.182

Cell and atoms, written as POSCAR:
```
ZnBrCl2
1.0
1.686 0.974 10.018
-1.686 0.974 10.018
0.000 -1.947 10.018
Zn Br Cl
1 1 2
direct
0.000 0.000 0.000
0.500 0.500 0.500
0.286 0.286 0.286
0.714 0.714 0.714
```

# 3
The following is a DFT calculation (PBEsol) of a relaxed ZnBrCl2 crystal.

Properties
E above lowest polymorph (eV/atom): 0.167
Calculated volume (Å³/atom): 25.18
N(E_F) (states/eV per atom): 1.08
Magnetic moment (μB per cell): 2.0
ΔE_f (raw) (eV per atom): -0.45
Crystal system: tetragonal
Symmetry: I-42d
VASP energy (Ry per atom): -0.170

Cell and atoms, written as POSCAR:
```
ZnBrCl2
1.0
-3.663 3.663 3.752
3.663 -3.663 3.752
3.663 3.663 -3.752
Zn Br Cl
2 2 4
direct
0.000 0.000 0.000
0.750 0.250 0.500
0.250 0.750 0.500
0.500 0.500 0.000
0.011 0.625 0.886
0.375 0.261 0.386
0.739 0.125 0.114
0.875 0.989 0.614
```

What did the second record say?
The following is a DFT calculation (PBEsol) of a relaxed ZnBrCl2 crystal.

Properties
E above lowest polymorph (eV/atom): 0.000
Calculated volume (Å³/atom): 24.67
N(E_F) (states/eV per atom): 0.65
Magnetic moment (μB per cell): 0.0
ΔE_f (raw) (eV per atom): -0.61
Crystal system: trigonal
Symmetry: R-3m
VASP energy (Ry per atom): -0.182

Cell and atoms, written as POSCAR:
```
ZnBrCl2
1.0
1.686 0.974 10.018
-1.686 0.974 10.018
0.000 -1.947 10.018
Zn Br Cl
1 1 2
direct
0.000 0.000 0.000
0.500 0.500 0.500
0.286 0.286 0.286
0.714 0.714 0.714
```

What did the first record say?
The following is a DFT calculation (PBEsol) of a relaxed ZnBrCl2 crystal.

Properties
E above lowest polymorph (eV/atom): 0.576
Calculated volume (Å³/atom): 22.04
N(E_F) (states/eV per atom): 0.37
Magnetic moment (μB per cell): 0.0
ΔE_f (raw) (eV per atom): -0.04
Crystal system: orthorhombic
Symmetry: Pmmm
VASP energy (Ry per atom): -0.140

Cell and atoms, written as POSCAR:
```
ZnBrCl2
1.0
3.710 0.000 0.000
0.000 3.847 0.000
0.000 0.000 6.178
Zn Br Cl
1 1 2
direct
0.000 0.000 0.000
0.500 0.000 0.500
0.000 0.500 0.500
0.500 0.500 0.000
```

What did the first record say?
The following is a DFT calculation (PBEsol) of a relaxed ZnBrCl2 crystal.

Properties
E above lowest polymorph (eV/atom): 0.576
Calculated volume (Å³/atom): 22.04
N(E_F) (states/eV per atom): 0.37
Magnetic moment (μB per cell): 0.0
ΔE_f (raw) (eV per atom): -0.04
Crystal system: orthorhombic
Symmetry: Pmmm
VASP energy (Ry per atom): -0.140

Cell and atoms, written as POSCAR:
```
ZnBrCl2
1.0
3.710 0.000 0.000
0.000 3.847 0.000
0.000 0.000 6.178
Zn Br Cl
1 1 2
direct
0.000 0.000 0.000
0.500 0.000 0.500
0.000 0.500 0.500
0.500 0.500 0.000
```